[1]
Below is crystalline Li2ZnH3 at its relaxed geometry, with properties calculated at the PBE-GGA level.

Calculated values
calculated volume: 54.4 Å³/f.u.
total moment: 0.00 Bohr magnetons per cell
final energy: -0.192 Ry/atom
DOS at the Fermi energy: 0.6 states/eV/cell

Geometry as CIF:
```
data_Li2ZnH3
_cell_length_a 8.535
_cell_length_b 4.484
_cell_length_c 6.110
_cell_angle_alpha 90.00
_cell_angle_beta 111.57
_cell_angle_gamma 90.00
_space_group_name_H-M_alt 'C 1 2/c 1'
_space_group_IT_number 15
loop_
_space_group_symop_operation_xyz
'x,y,z'
'-x,-y,-z'
'-x,y,-z+1/2'
'x,-y,z+1/2'
'x+1/2,y+1/2,z'
'-x+1/2,-y+1/2,-z'
'-x+1/2,y+1/2,-z+1/2'
'x+1/2,-y+1/2,z+1/2'
loop_
_atom_site_label
_atom_site_fract_x
_atom_site_fract_y
_atom_site_fract_z
Li1 0.165 0.013 0.082
Zn1 0.000 0.493 0.750
H1 0.000 0.117 0.250
H2 0.154 0.499 0.578
```



[2]
Below is crystalline LiZnH2 at its relaxed geometry, with properties calculated at the PBE-GGA level.

Calculated values
calculated volume: 40.8 Å³/f.u.
total moment: 0.00 Bohr magnetons per cell
final energy: -0.181 Ry/atom
offset from the most stable computed form: 24 meV/atom
DOS at the Fermi energy: 0.7 states/eV/cell

Geometry as CIF:
```
data_LiZnH2
_cell_length_a 3.143
_cell_length_b 3.176
_cell_length_c 4.908
_cell_angle_alpha 108.28
_cell_angle_beta 92.31
_cell_angle_gamma 116.21
_space_group_name_H-M_alt 'P 1'
_space_group_IT_number 1
loop_
_space_group_symop_operation_xyz
'x,y,z'
loop_
_atom_site_label
_atom_site_fract_x
_atom_site_fract_y
_atom_site_fract_z
Li1 0.000 0.000 0.000
Zn1 0.504 0.015 0.522
H1 0.387 0.756 0.146
H2 0.873 0.708 0.596
```